(1)
Compound: Mg8Tl3Pb2
Source: the Alexandria database
Functional: GGA-PBE
Structure: relaxed

Cell and atoms, written as POSCAR:
```
Mg8Tl3Pb2
1.0
6.3705 -5.2256 0.0000
6.3705 5.2256 0.0000
-0.8391 0.0000 5.1085
Mg Tl Pb
8 3 2
direct
0.0650 0.0650 0.2835
0.1263 0.5988 0.9266
0.3426 0.3426 0.4072
0.4012 0.8737 0.0734
0.5988 0.1263 0.9266
0.6574 0.6574 0.5928
0.8737 0.4012 0.0734
0.9350 0.9350 0.7165
0.2595 0.7405 0.5000
0.5000 0.5000 0.0000
0.7405 0.2595 0.5000
0.1984 0.1984 0.8413
0.8016 0.8016 0.1587
```

Calculated values
The energy relative to the lowest polymorph listed for this composition is 0.0 meV/atom. The theoretical density is 5.966 g/cm3. As for the space group: C2/m, No. 12. Its density of states at the Fermi level is 0.361 states/eV/atom. The raw total energy is -27.04 eV/f.u.

***

(2)
Compound: Mg5TlPb3
Source: the Alexandria database
Functional: GGA-PBE
Structure: relaxed

Cell and atoms, written as POSCAR:
```
Mg5TlPb3
1.0
-3.7439 3.7439 8.7361
3.7439 -3.7439 8.7361
3.7439 3.7439 -8.7361
Mg Tl Pb
10 2 6
direct
0.0000 0.0000 0.0000
0.0792 0.5792 0.9517
0.1275 0.0792 0.5000
0.3725 0.8725 0.9517
0.4208 0.3725 0.5000
0.5000 0.5000 0.0000
0.5792 0.6275 0.5000
0.6275 0.1275 0.0483
0.8725 0.9208 0.5000
0.9208 0.4208 0.0483
0.2500 0.7500 0.5000
0.7500 0.2500 0.5000
0.1403 0.3597 0.5000
0.2500 0.2500 0.0000
0.3597 0.8597 0.2195
0.6403 0.1403 0.7805
0.7500 0.7500 0.0000
0.8597 0.6403 0.5000
```

Calculated values
The energy relative to the lowest polymorph listed for this composition is 76.5 meV/atom. The theoretical density is 6.424 g/cm3. As for the space group: I4/mcm, No. 140. Its density of states at the Fermi level is 0.474 states/eV/atom. The raw total energy is -21.02 eV/f.u.

***

(3)
Compound: Mg12TlPb6
Source: the Alexandria database
Functional: GGA-PBE
Structure: relaxed

Cell and atoms, written as POSCAR:
```
Mg12TlPb6
1.0
6.3469 3.6644 3.8449
-6.3469 3.6644 3.8449
0.0000 -7.3288 3.8449
Mg Tl Pb
12 1 6
direct
0.0006 0.3148 0.8756
0.1244 0.9994 0.6852
0.1974 0.6596 0.4867
0.3148 0.8756 0.0006
0.3404 0.5133 0.8026
0.4867 0.1974 0.6596
0.5133 0.8026 0.3404
0.6596 0.4867 0.1974
0.6852 0.1244 0.9994
0.8026 0.3404 0.5133
0.8756 0.0006 0.3148
0.9994 0.6852 0.1244
0.5000 0.5000 0.5000
0.0015 0.6510 0.7620
0.2380 0.9985 0.3490
0.3490 0.2380 0.9985
0.6510 0.7620 0.0015
0.7620 0.0015 0.6510
0.9985 0.3490 0.2380
```

Calculated values
The energy relative to the lowest polymorph listed for this composition is 3.8 meV/atom. The theoretical density is 5.383 g/cm3. As for the space group: R-3, No. 148. Its density of states at the Fermi level is 0.420 states/eV/atom. The raw total energy is -43.35 eV/f.u.